Ba3Ta | GGA-PBE | relaxed

Cell and atoms, written as POSCAR:
```
Ba3Ta
1.0
6.645 -6.740 0.000
6.645 6.740 0.000
0.000 0.000 4.250
Ba Ta
6 2
direct
0.154 0.846 0.750
0.181 0.423 0.750
0.423 0.181 0.250
0.577 0.819 0.750
0.819 0.577 0.250
0.846 0.154 0.250
0.441 0.559 0.250
0.559 0.441 0.750
```

Its space-group type is Cmcm. The calculation puts the energy at -0.1427 hartree per atom. For the calculated formation energy, the calculation gives 0.523 eV/atom.